## KReMoO6 (GGA+U)

Data for crystalline KReMoO6 at its relaxed geometry.

The structure in CIF format:
```
data_KReMoO6
_chemical_formula_sum 'K2 Re2 Mo2 O12'
_cell_length_a 5.265
_cell_length_b 9.587
_cell_length_c 5.886
_cell_angle_alpha 90.00
_cell_angle_beta 91.22
_cell_angle_gamma 90.00
_space_group_name_H-M_alt 'C 1 2 1'
_space_group_IT_number 5
_space_group_name_Hall 'C 2y'
loop_
_atom_site_label
_atom_site_type_symbol
_atom_site_fract_x
_atom_site_fract_y
_atom_site_fract_z
K1 K 0.000 0.000 0.000
Re1 Re 0.000 0.665 0.500
Mo1 Mo 0.000 0.342 0.500
O1 O 0.110 0.512 0.318
O2 O 0.185 0.795 0.313
O3 O 0.212 0.195 0.314
```

* crystal system: monoclinic
* calculated total energy: -7.26 eV/atom